The following is a DFT calculation (GGA-PBEsol) of an optimized crystal structure of YCdCu2.

Results
- V (Å³/cell) = 74
- space-group type = Amm2 (38)
- E (eV for the cell shown) = -17.3
- DFT formation energy (eV per atom) = -0.1422

a = 3.7615 Å, b = 3.9442 Å, c = 5.3034 Å
α = 90.00°, β = 110.77°, γ = 90.00°
Last column: nearest neighbours and their distance in Å.
Atoms (fractional coordinates):
Cu 0.6840 0.5000 0.3681  2 Cu 2.38
Cu 0.8189 0.0000 0.6377  2 Cu 2.38
Y 0.0993 0.0000 0.1987  7 Cu 2.78-2.88
Cd 0.3977 0.5000 0.7953  7 Cu 2.83-2.84

The following is a DFT calculation (GGA-PBEsol) of an optimized crystal structure of TlNi2PdO.

Results
- V (Å³/cell) = 66
- space-group type = P4/mmm (123)
- raw formation energy (kJ/mol of formula units) = -26
- E (eV for the cell shown) = -26.4

a = 3.8337 Å, b = 3.8337 Å, c = 4.4978 Å
α = 90.00°, β = 90.00°, γ = 90.00°
Last column: nearest neighbours and their distance in Å.
Atoms (fractional coordinates):
Tl 0.5000 0.5000 0.5000  4 Pd 2.71, 8 Ni 2.95
Ni 0.5000 0.0000 0.0000  2 O 1.92
Ni 0.0000 0.5000 0.0000  2 O 1.92
O 0.0000 0.0000 0.0000  4 Ni 1.92
Pd 0.0000 0.0000 0.5000  2 O 2.25

The following is a DFT calculation (GGA-PBEsol) of an optimized crystal structure of YCrOs2.

Results
- V (Å³/cell) = 63
- space-group type = P4/mmm (123)
- polymorph energy (0 for the lowest one) (meV/atom) = 0.0
- E (eV for the cell shown) = -40.0
- DFT formation energy (eV per atom) = 0.3835

a = 3.1536 Å, b = 4.4822 Å, c = 4.4822 Å
α = 90.00°, β = 90.00°, γ = 90.00°
Last column: nearest neighbours and their distance in Å.
Atoms (fractional coordinates):
Os 0.0000 0.5000 0.0000  4 Cr 2.74, 4 Y 2.74
Os 0.0000 0.0000 0.5000  4 Cr 2.74, 4 Y 2.74
Y 0.5000 0.5000 0.5000  8 Os 2.74
Cr 0.5000 0.0000 0.0000  8 Os 2.74

The following is a DFT calculation (GGA-PBEsol) of an optimized crystal structure of LaTl.

Results
- V (Å³/cell) = 115
- space-group type = I4_1/amd (141)
- E (eV for the cell shown) = -17.6
- DFT formation energy (eV per atom) = -0.4154

a = 4.6854 Å, b = 4.6854 Å, c = 6.2016 Å
α = 112.19°, β = 112.19°, γ = 90.00°
Last column: nearest neighbours and their distance in Å.
Atoms (fractional coordinates):
La 0.0000 0.0000 0.0000  8 Tl 3.31-3.52, 4 La 3.52
La 0.2500 0.7500 0.5000  8 Tl 3.31-3.52, 4 La 3.52
Tl 0.5000 0.5000 0.0000  8 La 3.31-3.52, 4 Tl 3.52
Tl 0.7500 0.2500 0.5000  8 La 3.31-3.52, 4 Tl 3.52